DFT (PBE) results for a relaxed structure of Ca4SbSe2.

## Properties
For the density of states at the Fermi level, the calculation gives 0.306 states/eV/atom. For the uncorrected formation energy, the calculation gives -1.41 eV/atom.

CIF file:
```
data_Ca4SbSe2
_chemical_formula_sum 'Ca8 Sb2 Se4'
_cell_length_a 8.195
_cell_length_b 8.195
_cell_length_c 8.195
_cell_angle_alpha 110.61
_cell_angle_beta 108.91
_cell_angle_gamma 108.91
_space_group_name_H-M_alt 'P 1'
_space_group_IT_number 1
loop_
_space_group_symop_operation_xyz
'x,y,z'
loop_
_atom_site_label
_atom_site_type_symbol
_atom_site_fract_x
_atom_site_fract_y
_atom_site_fract_z
Ca1 Ca 0.316 0.072 0.388
Ca2 Ca 0.684 0.612 0.928
Ca3 Ca 0.684 0.072 0.756
Ca4 Ca 0.184 0.506 0.322
Se1 Se 0.250 0.375 0.625
Ca5 Ca 0.184 0.678 0.862
Se2 Se 0.750 0.375 0.625
Sb1 Sb 0.500 0.750 0.250
Se3 Se 0.250 0.875 0.625
Se4 Se 0.750 0.375 0.125
Sb2 Sb 0.000 0.000 0.000
Ca6 Ca 0.316 0.244 0.928
Ca7 Ca 0.816 0.678 0.494
Ca8 Ca 0.816 0.138 0.322
```